(1)
Entry from OQMD via LeMat-Bulk: a relaxed Y4SnAuC2 crystal (PBE-GGA).

Lattice parameters (Å, degrees): 3.660 3.660 14.931 90.00 90.00 120.00
Fractional positions:
Au 0.667 0.333 0.000
Y 0.000 0.000 0.851
C 0.333 0.667 0.763
Y 0.667 0.333 0.328
Y 0.000 0.000 0.149
Y 0.667 0.333 0.672
C 0.333 0.667 0.237
Sn 0.000 0.000 0.500

Values from the calculation:
Crystal system: hexagonal

(2)
Entry from OQMD via LeMat-Bulk: a relaxed Te3Pd2 crystal (PBE-GGA).

Lattice parameters (Å, degrees): 6.927 6.927 6.927 61.98 61.98 61.98
Fractional positions:
Pd 0.329 0.329 0.329
Te 0.243 0.586 0.922
Pd 0.000 0.000 0.000
Te 0.922 0.243 0.586
Pd 0.500 0.500 0.500
Te 0.414 0.078 0.757
Te 0.586 0.922 0.243
Te 0.757 0.414 0.078
Pd 0.671 0.671 0.671
Te 0.078 0.757 0.414

Values from the calculation:
Crystal system: trigonal

(3)
Entry from OQMD via LeMat-Bulk: a relaxed ZrBiPO crystal (PBE-GGA).

Lattice parameters (Å, degrees): 4.425 4.425 8.109 90.00 90.00 90.00
Fractional positions:
Bi 0.000 0.500 0.116
Zr 0.500 0.500 0.500
O 0.500 0.500 0.000
P 0.000 0.500 0.669
Bi 0.500 0.000 0.884
O 0.000 0.000 0.000
P 0.500 0.000 0.331
Zr 0.000 0.000 0.500

Values from the calculation:
Crystal system: tetragonal

Result set for total energy: -55.867; -42.898; -51.951 eV for the cell shown, one per record in the order listed.